No. 1
Here is a geometry-optimized SiP2Cl structure from Alexandria. Energies are from GGA-PBE.

Results
Its uncorrected formation energy is 815 meV per atom. The calculation puts the distance to the lowest polymorph of the same formula at 0.867 eV per atom.

Lattice parameters (Å, degrees): 4.721 4.721 2.909 90.00 90.00 90.00
Space group P4/mmm (No. 123)
Unique sites:
Si (0.000, 0.000, 0.000) [1 per cell]
P (0.000, 0.500, 0.500) [2 per cell]
Cl (0.500, 0.500, 0.000) [1 per cell]

---

No. 2
Here is a geometry-optimized SiPCl2 structure from Alexandria. Energies are from GGA-PBE.

Results
Its uncorrected formation energy is 433 meV per atom. The calculation puts the distance to the lowest polymorph of the same formula at 0.885 eV per atom.

Lattice parameters (Å, degrees): 3.110 5.650 8.599 90.00 90.00 90.00
Space group Immm (No. 71)
Unique sites:
Si (0.000, 0.000, 0.000) [2 per cell]
P (0.000, 0.000, 0.500) [2 per cell]
Cl (0.000, 0.500, 0.259) [4 per cell]

---

No. 3
Here is a geometry-optimized SiP2Cl structure from Alexandria. Energies are from GGA-PBE.

Results
Its uncorrected formation energy is 247 meV per atom. The calculation puts the distance to the lowest polymorph of the same formula at 0.299 eV per atom.

Lattice parameters (Å, degrees): 3.278 6.700 8.774 90.00 90.00 90.00
Space group Cmm2 (No. 35)
Unique sites:
Si (0.000, 0.000, 0.000) [2 per cell]
P (0.000, 0.000, 0.369) [2 per cell]
P (0.000, 0.500, 0.208) [2 per cell]
Cl (0.000, 0.500, 0.800) [2 per cell]

---

Number 1: total magnetization 0.00 Bohr magnetons per cell. Number 2: total magnetization 0.00 Bohr magnetons per cell. Number 3: total magnetization 0.00 Bohr magnetons per cell.